Record 1
Compound: TmPuCo2
Source: the Alexandria database
Functional: PBE
Structure: relaxed

a b c (Å): 4.6816 4.6816 3.2670
angles (deg): 90.00 90.00 90.00
Closest atoms and distances in Å follow each position.
Space group P4/mmm (No. 123)
One atom of each set of equivalent atoms:
1 Tm 0.0000 0.0000 0.0000  8 Co 2.85
2 Pu 0.5000 0.5000 0.0000  8 Co 2.85
3 Co 0.0000 0.5000 0.5000  4 Tm 2.85, 4 Pu 2.85

---

Record 2
Compound: Tm2PuCo2
Source: the Alexandria database
Functional: PBE
Structure: relaxed

a b c (Å): 9.9831 5.7459 7.2008
angles (deg): 90.00 101.05 90.00
Closest atoms and distances in Å follow each position.
Space group C2/c (No. 15)
One atom of each set of equivalent atoms:
1 Tm 0.1514 0.1198 0.1491  5 Co 2.86-3.19
2 Pu 0.0000 0.3967 0.7500  4 Co 2.51-2.59
3 Co 0.1495 0.3529 0.5092  1 Co 2.36, 2 Pu 2.51-2.59

---

Record 3
Compound: Pu2UCo
Source: the Alexandria database
Functional: PBE
Structure: relaxed

a b c (Å): 4.3765 4.3765 14.6624
angles (deg): 90.00 90.00 120.00
Closest atoms and distances in Å follow each position.
Space group R-3m (No. 166, hexagonal axes)
One atom of each set of equivalent atoms:
1 Pu 0.0000 0.0000 0.1615  1 U 2.37, 3 Co 2.53, 3 Pu 2.53
2 U 0.0000 0.0000 0.0000  2 Pu 2.37
3 Co 0.0000 0.0000 0.5000  6 Pu 2.53

Summary:
ΔE to the lowest computed polymorph, meV/atom: 375

---

Number 1: calculated formation energy -0.070 eV per atom, theoretical density 12.309 Mg/m³. Number 2: calculated formation energy -0.209 eV per atom, theoretical density 11.465 Mg/m³. Number 3: calculated formation energy 0.500 eV per atom, theoretical density 16.078 Mg/m³.